# 1
Here is a relaxed Cs2MgSe crystal from the Alexandria database. Energies are from GGA-PBE.

Offset from the most stable computed form (meV/atom): 24
Formation energy from raw total energies (eV per formula unit): -1.75

abc: 8.855 8.855 8.855
angles: 90.00 90.00 90.00
Space group Fm-3m (No. 225)
Asymmetric unit:
Cs 0.250 0.250 0.250 (multiplicity 8)
Mg 0.000 0.000 0.000 (multiplicity 4)
Se 0.000 0.000 0.500 (multiplicity 4)

# 2
Here is a relaxed Sc3Te4 crystal from the Alexandria database. Energies are from GGA-PBE.

Offset from the most stable computed form (meV/atom): 69
Formation energy from raw total energies (eV per formula unit): -8.22

abc: 4.1536 4.1536 41.8990
angles: 90.00 90.00 120.00
Space group R3m (No. 160, hexagonal axes)
Asymmetric unit:
Sc 0.0000 0.0000 0.0000 (multiplicity 3)
Sc 0.0000 0.0000 0.0867 (multiplicity 3)
Sc 0.0000 0.0000 0.5062 (multiplicity 3)
Te 0.0000 0.0000 0.2098 (multiplicity 3)
Te 0.0000 0.0000 0.3788 (multiplicity 3)
Te 0.0000 0.0000 0.6304 (multiplicity 3)
Te 0.0000 0.0000 0.7948 (multiplicity 3)

# 3
Here is a relaxed TaIn2Cl7 crystal from the Alexandria database. Energies are from GGA-PBE.

Formation energy from raw total energies (eV per formula unit): -10.61

abc: 15.742 7.996 12.134
angles: 90.00 123.14 90.00
Space group C2/c (No. 15)
Asymmetric unit:
Ta 0.000 0.225 0.250 (multiplicity 4)
In 0.117 0.250 0.024 (multiplicity 8)
Cl 0.000 0.099 0.750 (multiplicity 4)
Cl 0.052 0.474 0.179 (multiplicity 8)
Cl 0.071 0.165 0.482 (multiplicity 8)
Cl 0.169 0.153 0.310 (multiplicity 8)

# 4
Here is a relaxed Th2FeCo crystal from the Alexandria database. Energies are from GGA-PBE.

Energy of formation (meV per atom): -207.4

abc: 5.982 3.824 7.503
angles: 90.00 108.08 90.00
Space group P2_1/m (No. 11)
Asymmetric unit:
Th 0.233 0.250 0.429 (multiplicity 2)
Th 0.233 0.250 0.936 (multiplicity 2)
Fe 0.321 0.750 0.207 (multiplicity 2)
Co 0.323 0.750 0.704 (multiplicity 2)

# 5
Here is a relaxed LaCo4Os crystal from the Alexandria database. Energies are from GGA-PBE.

Energy of formation (meV per atom): 261.3

abc: 7.044 7.044 7.044
angles: 90.00 90.00 90.00
Space group F-43m (No. 216)
Asymmetric unit:
La 0.000 0.000 0.000 (multiplicity 4)
Co 0.124 0.124 0.624 (multiplicity 16)
Os 0.250 0.250 0.250 (multiplicity 4)

# 6
Here is a relaxed CaPmSmEu crystal from the Alexandria database. Energies are from GGA-PBE.

Energy of formation (meV per atom): 127.0

abc: 8.406 8.406 8.406
angles: 90.00 90.00 90.00
Space group F-43m (No. 216)
Asymmetric unit:
Ca 0.000 0.000 0.000 (multiplicity 4)
Pm 0.250 0.250 0.750 (multiplicity 4)
Sm 0.000 0.000 0.500 (multiplicity 4)
Eu 0.250 0.250 0.250 (multiplicity 4)

# 7
Here is a relaxed Mg2ScTc crystal from the Alexandria database. Energies are from GGA-PBE.

Offset from the most stable computed form (meV/atom): 79
Energy of formation (meV per atom): 96.7

abc: 9.907 3.259 5.074
angles: 90.00 110.39 90.00
Space group Cm (No. 8)
Asymmetric unit:
Mg 0.000 0.000 0.000 (multiplicity 2)
Mg 0.237 0.000 0.799 (multiplicity 2)
Sc 0.286 0.500 0.347 (multiplicity 2)
Tc 0.011 0.500 0.493 (multiplicity 2)

# 8
Here is a relaxed Li3LaAs2 crystal from the Alexandria database. Energies are from GGA-PBE.

Energy of formation (meV per atom): -961.6

abc: 16.571 4.185 10.322
angles: 90.00 100.90 90.00
Space group C2/m (No. 12)
Asymmetric unit:
Li 0.000 0.000 0.000 (multiplicity 2)
Li 0.053 0.500 0.839 (multiplicity 4)
Li 0.123 0.000 0.730 (multiplicity 4)
Li 0.182 0.000 0.490 (multiplicity 4)
Li 0.209 0.500 0.905 (multiplicity 4)
La 0.000 0.500 0.500 (multiplicity 2)
La 0.166 0.500 0.215 (multiplicity 4)
As 0.043 0.000 0.304 (multiplicity 4)
As 0.144 0.000 0.987 (multiplicity 4)
As 0.193 0.500 0.647 (multiplicity 4)

# 9
Here is a relaxed BaScRu2Pt crystal from the Alexandria database. Energies are from GGA-PBE.

Energy of formation (meV per atom): 2116.7

abc: 4.849 4.849 5.106
angles: 90.00 90.00 90.00
Space group P4/mmm (No. 123)
Asymmetric unit:
Ba 0.000 0.000 0.000 (multiplicity 1)
Sc 0.000 0.000 0.500 (multiplicity 1)
Ru 0.000 0.500 0.000 (multiplicity 2)
Pt 0.500 0.500 0.500 (multiplicity 1)

# 10
Here is a relaxed RePCl2F crystal from the Alexandria database. Energies are from GGA-PBE.

Offset from the most stable computed form (meV/atom): 0
Formation energy from raw total energies (eV per formula unit): 0.38

abc: 4.695 4.695 4.600
angles: 90.00 90.00 90.00
Space group P4/mmm (No. 123)
Asymmetric unit:
Re 0.000 0.000 0.000 (multiplicity 1)
P 0.000 0.000 0.500 (multiplicity 1)
Cl 0.000 0.500 0.000 (multiplicity 2)
F 0.500 0.500 0.500 (multiplicity 1)

# 11
Here is a relaxed TaHg2Rh crystal from the Alexandria database. Energies are from GGA-PBE.

Offset from the most stable computed form (meV/atom): 0
Energy of formation (meV per atom): 7.1

abc: 3.075 3.072 8.153
angles: 90.00 90.19 90.00
Space group Pm (No. 6)
Asymmetric unit:
Ta 0.000 0.000 0.000 (multiplicity 1)
Hg 0.005 0.000 0.438 (multiplicity 1)
Hg 0.498 0.500 0.737 (multiplicity 1)
Rh 0.501 0.500 0.183 (multiplicity 1)

# 12
Here is a relaxed Sr4Ca3 crystal from the Alexandria database. Energies are from GGA-PBE.

Energy of formation (meV per atom): 17.9

abc: 4.663 4.663 31.308
angles: 90.00 90.00 90.00
Space group I4/mmm (No. 139)
Asymmetric unit:
Sr 0.000 0.000 0.070 (multiplicity 4)
Sr 0.000 0.000 0.351 (multiplicity 4)
Ca 0.000 0.000 0.219 (multiplicity 4)
Ca 0.000 0.000 0.500 (multiplicity 2)

# 13
Here is a relaxed KNaCaCd crystal from the Alexandria database. Energies are from GGA-PBE.

Energy of formation (meV per atom): 50.5

abc: 8.290 8.290 8.290
angles: 90.00 90.00 90.00
Space group F-43m (No. 216)
Asymmetric unit:
K 0.000 0.000 0.000 (multiplicity 4)
Na 0.250 0.250 0.750 (multiplicity 4)
Ca 0.250 0.250 0.250 (multiplicity 4)
Cd 0.000 0.000 0.500 (multiplicity 4)

# 14
Here is a relaxed Zn2SbRh crystal from the Alexandria database. Energies are from GGA-PBE.

Formation energy from raw total energies (eV per formula unit): -0.43

abc: 3.242 3.734 5.551
angles: 90.00 90.00 90.00
Space group Pmmm (No. 47)
Asymmetric unit:
Zn 0.000 0.000 0.220 (multiplicity 2)
Sb 0.500 0.500 0.500 (multiplicity 1)
Rh 0.500 0.500 0.000 (multiplicity 1)

# 15
Here is a relaxed Al2InRu crystal from the Alexandria database. Energies are from GGA-PBE.

Energy of formation (meV per atom): -160.5

abc: 3.240 3.576 5.718
angles: 90.00 90.00 90.00
Space group Pmm2 (No. 25)
Asymmetric unit:
Al 0.000 0.000 0.000 (multiplicity 1)
Al 0.500 0.500 0.249 (multiplicity 1)
In 0.000 0.000 0.524 (multiplicity 1)
Ru 0.500 0.500 0.810 (multiplicity 1)

# 16
Here is a relaxed Sr2I3Cl crystal from the Alexandria database. Energies are from GGA-PBE.

Offset from the most stable computed form (meV/atom): 0
Formation energy from raw total energies (eV per formula unit): -11.36

abc: 18.571 4.919 12.537
angles: 90.00 116.69 90.00
Space group C2/m (No. 12)
Asymmetric unit:
Sr 0.107 0.000 0.436 (multiplicity 4)
Sr 0.144 0.500 0.820 (multiplicity 4)
I 0.051 0.500 0.241 (multiplicity 4)
I 0.157 0.000 0.006 (multiplicity 4)
I 0.223 0.500 0.617 (multiplicity 4)
Cl 0.074 0.000 0.652 (multiplicity 4)

# 17
Here is a relaxed Nd5YTl6 crystal from the Alexandria database. Energies are from GGA-PBE.

Energy of formation (meV per atom): -386.9

abc: 9.503 16.522 5.503
angles: 90.00 125.30 90.00
Space group C2/m (No. 12)
Asymmetric unit:
Nd 0.000 0.000 0.000 (multiplicity 2)
Nd 0.000 0.165 0.500 (multiplicity 4)
Nd 0.000 0.330 0.000 (multiplicity 4)
Y 0.000 0.500 0.500 (multiplicity 2)
Tl 0.241 0.500 0.241 (multiplicity 4)
Tl 0.245 0.336 0.745 (multiplicity 8)

# 18
Here is a relaxed PrHo2Tm3Bi6 crystal from the Alexandria database. Energies are from GGA-PBE.

Energy of formation (meV per atom): -824.2

abc: 19.510 4.480 8.956
angles: 90.00 103.19 90.00
Space group C2/m (No. 12)
Asymmetric unit:
Pr 0.000 0.000 0.000 (multiplicity 2)
Ho 0.168 0.500 0.333 (multiplicity 4)
Tm 0.000 0.000 0.500 (multiplicity 2)
Tm 0.165 0.500 0.832 (multiplicity 4)
Bi 0.001 0.500 0.260 (multiplicity 4)
Bi 0.166 0.000 0.584 (multiplicity 4)
Bi 0.171 0.000 0.084 (multiplicity 4)